CaBeCl2 PBE-GGA optimized geometry; E_tot = -3.101 eV per atom; total magnetic moment = 0.00 μB/cell
1.0
5.9563 -0.1093 0.0255
1.6172 5.7335 -0.0255
-2.9002 -4.0060 3.3213
Be Ca Cl
1 1 2
direct
0.7500 0.2500 0.5000 Be
0.2500 0.7500 0.5000 Ca
0.0579 0.0579 0.0000 Cl
0.4421 0.4421 0.0000 Cl